The following is a DFT calculation (PBE-GGA) of crystalline InPd2C at its relaxed geometry.

Structure (POSCAR):
```
InPd2C
1.0
-1.9944 1.9998 4.2503
1.9944 -1.9998 4.2503
1.9944 1.9998 -4.2503
In Pd C
1 2 1
Cartesian
0.0000 0.0000 0.0000
0.0000 0.0000 4.3353
0.0000 1.9998 2.2173
0.0000 0.0000 2.3636
```

Calculated values
- Electronic total energy: -20.66 eV/cell
- DOS(E_F): 1.10 states/eV/f.u.
- Formation energy: 41 kJ/mol of atoms
- Size of the total moment: 0.0 μB/cell